Computed, not measured: a geometry-optimized Mg3Ru5 structure at the PBE level of DFT.

Values from the calculation:
The calculation puts the formation energy from the elements at 377 meV per atom. The polymorph energy (0 for the lowest one) is 0.1636 eV per atom. As for the total energy: -6.019 eV/atom.

Cell: 7.7087 7.7087 4.8411 Å, 90.00 90.00 120.00°
Space group P6_3/mcm (No. 193)
Symmetry-distinct sites (fractional):
Mg (0.0000, 0.3964, 0.2500) (multiplicity 6)
Ru (0.0000, 0.1987, 0.7500) (multiplicity 6)
Ru (0.3333, 0.6667, 0.0000) (multiplicity 4)

Computed, not measured: a geometry-optimized MgRu structure at the PBE level of DFT.

Values from the calculation:
The calculation puts the formation energy from the elements at 20 meV per atom. As for the total energy: -5.415 eV/atom.

Cell: 9.601 4.250 6.804 Å, 90.00 90.00 90.00°
Space group Pnma (No. 62)
Symmetry-distinct sites (fractional):
Mg (0.086, 0.250, 0.118) (multiplicity 4)
Mg (0.101, 0.750, 0.454) (multiplicity 4)
Ru (0.175, 0.250, 0.703) (multiplicity 4)
Ru (0.200, 0.750, 0.885) (multiplicity 4)

Computed, not measured: a geometry-optimized Mg3Ru5 structure at the PBE level of DFT.

Values from the calculation:
The calculation puts the formation energy from the elements at 213 meV per atom. The polymorph energy (0 for the lowest one) is 0.0000 eV per atom. As for the total energy: -6.182 eV/atom.

Cell: 6.344 8.715 4.298 Å, 90.00 90.00 90.00°
Space group Cmmm (No. 65)
Symmetry-distinct sites (fractional):
Mg (0.000, 0.000, 0.000) (multiplicity 2)
Mg (0.000, 0.243, 0.500) (multiplicity 4)
Ru (0.000, 0.500, 0.000) (multiplicity 2)
Ru (0.236, 0.500, 0.500) (multiplicity 4)
Ru (0.250, 0.250, 0.000) (multiplicity 4)

Computed, not measured: a geometry-optimized Mg2Ru3 structure at the PBE level of DFT.

Values from the calculation:
The calculation puts the formation energy from the elements at 743 meV per atom. The polymorph energy (0 for the lowest one) is 0.5965 eV per atom. As for the total energy: -5.460 eV/atom.

Cell: 4.1562 4.1562 5.5420 Å, 90.00 90.00 120.00°
Space group P-3m1 (No. 164)
Symmetry-distinct sites (fractional):
Mg (0.3333, 0.6667, 0.3626) (multiplicity 2)
Ru (0.0000, 0.0000, 0.5000) (multiplicity 1)
Ru (0.3333, 0.6667, 0.9086) (multiplicity 2)

Computed, not measured: a geometry-optimized MgRu3 structure at the PBE level of DFT.

Values from the calculation:
The calculation puts the formation energy from the elements at 148 meV per atom. As for the total energy: -7.208 eV/atom.

Cell: 9.134 2.755 4.713 Å, 90.00 100.00 90.00°
Space group C2/m (No. 12)
Symmetry-distinct sites (fractional):
Mg (0.000, 0.000, 0.000) (multiplicity 2)
Ru (0.000, 0.500, 0.500) (multiplicity 2)
Ru (0.239, 0.000, 0.739) (multiplicity 4)

Computed, not measured: a geometry-optimized Mg3Ru structure at the PBE level of DFT.

Values from the calculation:
The calculation puts the formation energy from the elements at 109 meV per atom. As for the total energy: -3.406 eV/atom.

Cell: 9.2194 9.2194 2.9126 Å, 90.00 90.00 120.00°
Space group R-3m (No. 166, hexagonal axes)
Symmetry-distinct sites (fractional):
Mg (0.0000, 0.5000, 0.0000) (multiplicity 9)
Ru (0.0000, 0.0000, 0.0000) (multiplicity 3)

Computed, not measured: a geometry-optimized MgRu structure at the PBE level of DFT.

Values from the calculation:
The calculation puts the formation energy from the elements at 1871 meV per atom. As for the total energy: -3.564 eV/atom.

Cell: 5.882 5.882 5.882 Å, 90.00 90.00 90.00°
Space group F-43m (No. 216)
Symmetry-distinct sites (fractional):
Mg (0.000, 0.000, 0.000) (multiplicity 4)
Ru (0.250, 0.250, 0.250) (multiplicity 4)

Computed, not measured: a geometry-optimized MgRu3 structure at the PBE level of DFT.

Values from the calculation:
The calculation puts the formation energy from the elements at 366 meV per atom. As for the total energy: -6.989 eV/atom.

Cell: 2.865 4.618 8.999 Å, 90.00 90.00 90.00°
Space group Cmmm (No. 65)
Symmetry-distinct sites (fractional):
Mg (0.000, 0.000, 0.000) (multiplicity 2)
Ru (0.000, 0.000, 0.500) (multiplicity 2)
Ru (0.000, 0.500, 0.255) (multiplicity 4)

Computed, not measured: a geometry-optimized MgRu structure at the PBE level of DFT.

Values from the calculation:
The calculation puts the formation energy from the elements at 1241 meV per atom. As for the total energy: -4.194 eV/atom.

Cell: 8.210 8.210 8.210 Å, 90.00 90.00 90.00°
Space group I-43m (No. 217)
Symmetry-distinct sites (fractional):
Mg (0.203, 0.203, 0.203) (multiplicity 8)
Ru (0.110, 0.110, 0.890) (multiplicity 8)

Computed, not measured: a geometry-optimized MgRu structure at the PBE level of DFT.

Values from the calculation:
The calculation puts the formation energy from the elements at 197 meV per atom. As for the total energy: -5.238 eV/atom.

Cell: 4.804 7.917 14.447 Å, 90.00 90.00 90.00°
Space group Fddd (No. 70, origin choice 2)
Symmetry-distinct sites (fractional):
Mg (0.125, 0.292, 0.125) (multiplicity 16)
Ru (0.125, 0.125, 0.541) (multiplicity 16)

Computed, not measured: a geometry-optimized Mg3Ru structure at the PBE level of DFT.

Values from the calculation:
The calculation puts the formation energy from the elements at 111 meV per atom. As for the total energy: -3.404 eV/atom.

Cell: 3.0237 3.0237 9.4590 Å, 90.00 90.00 120.00°
Space group P-6m2 (No. 187)
Symmetry-distinct sites (fractional):
Mg (0.0000, 0.0000, 0.0000) (multiplicity 1)
Mg (0.3333, 0.6667, 0.2814) (multiplicity 2)
Ru (0.0000, 0.0000, 0.5000) (multiplicity 1)

Computed, not measured: a geometry-optimized MgRu3 structure at the PBE level of DFT.

Values from the calculation:
The calculation puts the formation energy from the elements at 120 meV per atom. As for the total energy: -7.236 eV/atom.

Cell: 4.862 8.856 5.446 Å, 90.00 90.00 90.00°
Space group Pnma (No. 62)
Symmetry-distinct sites (fractional):
Mg (0.056, 0.250, 0.131) (multiplicity 4)
Ru (0.075, 0.250, 0.640) (multiplicity 4)
Ru (0.230, 0.510, 0.378) (multiplicity 8)

Computed, not measured: a geometry-optimized MgRu3 structure at the PBE level of DFT.

Values from the calculation:
The calculation puts the formation energy from the elements at 217 meV per atom. As for the total energy: -7.138 eV/atom.

Cell: 5.351 7.969 2.728 Å, 90.00 90.00 90.00°
Space group Cmmm (No. 65)
Symmetry-distinct sites (fractional):
Mg (0.000, 0.000, 0.000) (multiplicity 2)
Ru (0.000, 0.500, 0.000) (multiplicity 2)
Ru (0.250, 0.250, 0.500) (multiplicity 4)

Computed, not measured: a geometry-optimized Mg3Ru structure at the PBE level of DFT.

Values from the calculation:
The calculation puts the formation energy from the elements at 44 meV per atom. As for the total energy: -3.471 eV/atom.

Cell: 4.135 4.135 4.135 Å, 90.00 90.00 90.00°
Space group Pm-3m (No. 221)
Symmetry-distinct sites (fractional):
Mg (0.000, 0.000, 0.500) (multiplicity 3)
Ru (0.500, 0.500, 0.500) (multiplicity 1)

Computed, not measured: a geometry-optimized MgRu structure at the PBE level of DFT.

Values from the calculation:
The calculation puts the formation energy from the elements at 63 meV per atom. As for the total energy: -5.372 eV/atom.

Cell: 10.209 2.861 6.920 Å, 90.00 107.02 90.00°
Space group Cm (No. 8)
Symmetry-distinct sites (fractional):
Mg (0.000, 0.000, 0.000) (multiplicity 2)
Mg (0.015, 0.000, 0.595) (multiplicity 2)
Mg (0.334, 0.000, 0.234) (multiplicity 2)
Ru (0.141, 0.500, 0.351) (multiplicity 2)
Ru (0.209, 0.500, 0.896) (multiplicity 2)
Ru (0.292, 0.000, 0.644) (multiplicity 2)

Computed, not measured: a geometry-optimized Mg3Ru structure at the PBE level of DFT.

Values from the calculation:
The calculation puts the formation energy from the elements at 17 meV per atom. As for the total energy: -3.498 eV/atom.

Cell: 6.534 6.534 6.534 Å, 90.00 90.00 90.00°
Space group Fm-3m (No. 225)
Symmetry-distinct sites (fractional):
Mg (0.000, 0.000, 0.000) (multiplicity 4)
Mg (0.250, 0.250, 0.250) (multiplicity 8)
Ru (0.000, 0.000, 0.500) (multiplicity 4)

Computed, not measured: a geometry-optimized MgRu structure at the PBE level of DFT.

Values from the calculation:
The calculation puts the formation energy from the elements at 150 meV per atom. As for the total energy: -5.285 eV/atom.

Cell: 3.079 4.591 4.381 Å, 90.00 90.00 90.00°
Space group Cmmm (No. 65)
Symmetry-distinct sites (fractional):
Mg (0.000, 0.000, 0.000) (multiplicity 2)
Ru (0.000, 0.500, 0.500) (multiplicity 2)

Computed, not measured: a geometry-optimized Mg3Ru structure at the PBE level of DFT.

Values from the calculation:
The calculation puts the formation energy from the elements at 5 meV per atom. As for the total energy: -3.510 eV/atom.

Cell: 4.137 4.137 16.371 Å, 90.00 90.00 90.00°
Space group I4/mmm (No. 139)
Symmetry-distinct sites (fractional):
Mg (0.000, 0.000, 0.127) (multiplicity 4)
Mg (0.000, 0.500, 0.000) (multiplicity 4)
Mg (0.000, 0.500, 0.250) (multiplicity 4)
Ru (0.000, 0.000, 0.380) (multiplicity 4)

Computed, not measured: a geometry-optimized MgRu structure at the PBE level of DFT.

Values from the calculation:
The calculation puts the formation energy from the elements at 321 meV per atom. As for the total energy: -5.114 eV/atom.

Cell: 4.5019 4.5019 7.5111 Å, 90.00 90.00 120.00°
Space group P6_3/mmc (No. 194)
Symmetry-distinct sites (fractional):
Mg (0.0000, 0.0000, 0.2500) (multiplicity 2)
Mg (0.3333, 0.6667, 0.2500) (multiplicity 2)
Ru (0.3333, 0.6667, 0.5871) (multiplicity 4)

Computed, not measured: a geometry-optimized Mg8Ru structure at the PBE level of DFT.

Values from the calculation:
The calculation puts the formation energy from the elements at 21 meV per atom. The polymorph energy (0 for the lowest one) is 0.0245 eV per atom. As for the total energy: -2.427 eV/atom.

Cell: 9.271 9.271 4.253 Å, 90.00 90.00 90.00°
Space group I4/mmm (No. 139)
Symmetry-distinct sites (fractional):
Mg (0.000, 0.322, 0.000) (multiplicity 8)
Mg (0.154, 0.154, 0.500) (multiplicity 8)
Ru (0.000, 0.000, 0.000) (multiplicity 2)